Entry 1:
Density functional theory data (PBE-GGA) for a relaxed structure of K2PaCuO6.

```
10
Lattice="0.000 4.082 4.082 4.082 0.000 4.082 4.082 4.082 0.000" Properties=species:S:1:pos:R:3 pbc="T T T"
K 2.041 2.041 2.041
K 6.124 6.124 6.124
Pa 0.000 0.000 0.000
Cu 4.082 4.082 4.082
O 4.082 4.082 2.111
O 4.082 2.111 4.082
O 6.054 4.082 4.082
O 2.111 4.082 4.082
O 4.082 6.054 4.082
O 4.082 4.082 6.054
```

The raw total energy is -6.3253 eV/atom. The uncorrected formation energy comes out at -1772 meV per atom. As for the calculated density: 5.7 Mg/m³. The total magnetization comes out at 0.000 μB/f.u.

Entry 2:
Density functional theory data (PBE-GGA) for a relaxed structure of K4Pa3CuO12.

```
20
Lattice="-4.279 4.279 4.279 4.279 -4.279 4.279 4.279 4.279 -4.279" Properties=species:S:1:pos:R:3 pbc="T T T"
K 2.140 2.140 -2.140
K 2.140 -2.140 2.140
K -2.140 2.140 2.140
K 2.140 2.140 2.140
Pa 4.279 0.000 0.000
Pa 0.000 4.279 0.000
Pa 0.000 0.000 4.279
Cu 0.000 0.000 0.000
O 2.139 0.000 0.000
O 6.420 0.000 0.000
O 0.000 2.139 0.000
O 0.000 0.000 2.139
O 4.279 2.140 0.000
O 4.279 0.000 2.140
O 2.140 4.279 0.000
O 2.140 0.000 4.279
O 0.000 6.420 0.000
O 0.000 4.279 2.140
O 0.000 2.140 4.279
O 0.000 0.000 6.420
```

The raw total energy is -7.2197 eV/atom. The uncorrected formation energy comes out at -2396 meV per atom. As for the calculated density: 5.9 Mg/m³. The total magnetization comes out at 0.000 μB/f.u.

Entry 3:
Density functional theory data (PBE-GGA) for a relaxed structure of K3PaCu2O8.

```
14
Lattice="5.980 0.000 0.000 -2.990 5.179 0.000 0.000 0.000 7.756" Properties=species:S:1:pos:R:3 pbc="T T T"
K 0.000 0.000 0.000
K 0.000 3.452 5.213
K 2.990 1.726 2.543
Pa 0.000 0.000 3.878
Cu 0.000 3.452 1.834
Cu 2.990 1.726 5.922
O 0.000 1.731 2.613
O -1.490 4.313 2.613
O 0.000 3.452 0.096
O 1.499 0.866 5.143
O 1.490 4.313 2.613
O 2.990 1.726 7.660
O 4.480 0.866 5.143
O 2.990 3.447 5.143
```

The raw total energy is -5.7768 eV/atom. The uncorrected formation energy comes out at -1445 meV per atom. As for the calculated density: 4.2 Mg/m³. The total magnetization comes out at 5.798 μB/f.u.

Entry 4:
Density functional theory data (PBE-GGA) for a relaxed structure of K3PaCu2O9.

```
15
Lattice="5.700 0.000 0.000 -2.850 4.937 0.000 0.000 0.000 7.068" Properties=species:S:1:pos:R:3 pbc="T T T"
K 0.000 0.000 0.000
K 0.000 3.291 4.811
K 2.850 1.646 2.257
Pa 0.000 0.000 3.534
Cu 0.000 3.291 1.166
Cu 2.850 1.646 5.903
O -1.425 2.468 0.000
O 0.000 1.698 2.297
O -1.379 4.087 2.297
O 1.471 0.849 4.771
O 2.850 0.000 0.000
O 1.425 2.468 0.000
O 1.379 4.087 2.297
O 4.230 0.849 4.771
O 2.850 3.238 4.771
```

The raw total energy is -5.6506 eV/atom. The uncorrected formation energy comes out at -1277 meV per atom. As for the calculated density: 5.2 Mg/m³. The total magnetization comes out at 2.152 μB/f.u.

Entry 5:
Density functional theory data (PBE-GGA) for a relaxed structure of K2PaCu2O6.

```
11
Lattice="5.990 0.000 0.000 -2.995 5.188 0.000 0.000 0.000 6.693" Properties=species:S:1:pos:R:3 pbc="T T T"
K 0.000 3.458 2.240
K 2.995 1.729 4.454
Pa 0.000 0.000 0.000
Cu 0.000 3.458 5.519
Cu 2.995 1.729 1.174
O -0.468 1.701 5.421
O -1.288 4.743 5.421
O 1.239 1.256 1.272
O 1.756 3.931 5.421
O 4.283 0.445 1.272
O 3.464 3.487 1.272
```

The raw total energy is -6.2033 eV/atom. The uncorrected formation energy comes out at -1691 meV per atom. As for the calculated density: 4.2 Mg/m³. The total magnetization comes out at 2.536 μB/f.u.

Entry 6:
Density functional theory data (PBE-GGA) for a relaxed structure of KPa2CuO8.

```
12
Lattice="5.129 0.000 0.000 -2.565 4.442 0.000 0.000 0.000 7.881" Properties=species:S:1:pos:R:3 pbc="T T T"
K 0.000 0.000 0.000
Pa 0.000 2.961 2.874
Pa 2.565 1.481 5.006
Cu 0.000 0.000 3.940
O 0.000 1.550 4.954
O -1.222 3.667 4.954
O 0.000 2.961 0.995
O 1.342 0.775 2.927
O 1.222 3.667 4.954
O 2.565 1.481 6.886
O 3.787 0.775 2.927
O 2.565 2.892 2.927
```

The raw total energy is -7.4629 eV/atom. The uncorrected formation energy comes out at -2142 meV per atom. As for the calculated density: 6.4 Mg/m³. The total magnetization comes out at 0.000 μB/f.u.